La4O5F | PBE | relaxed

Properties
The size of the total moment comes out at 1.9 μB/cell. The crystal system is orthorhombic. The density of states at the Fermi level comes out at 1.29 states/eV/f.u. Its uncorrected energy is -7.999 eV per atom. Its space group is Pmmn, No. 59.

a b c (Å): 7.8840 7.9990 5.8924
angles (deg): 90.00 90.00 90.00
Closest atoms and distances in Å follow each position.
Element x y z (fractional)
La1 0.0003 0.2500 0.0163  3 O 2.34-2.38, 1 F 2.48
La2 0.9997 0.7500 0.9837  3 O 2.34-2.38, 1 F 2.48
La3 0.2500 0.0031 0.4759  5 O 2.40-2.51, 1 F 2.52
La4 0.2500 0.4969 0.4759  5 O 2.40-2.51, 1 F 2.52
La5 0.4997 0.2500 0.0163  3 O 2.34-2.38, 1 F 2.48
La6 0.5003 0.7500 0.9837  3 O 2.34-2.38, 1 F 2.48
La7 0.7500 0.5031 0.5241  5 O 2.40-2.51, 1 F 2.52
La8 0.7500 0.9969 0.5241  5 O 2.40-2.51, 1 F 2.52
O1 0.0183 0.0352 0.7479  3 La 2.34-2.51
O2 0.0183 0.4648 0.7479  3 La 2.34-2.51
O3 0.2500 0.2500 0.2438  4 La 2.38-2.40
O4 0.4817 0.0352 0.7479  3 La 2.34-2.51
O5 0.4817 0.4648 0.7479  3 La 2.34-2.51
O6 0.5183 0.5352 0.2521  3 La 2.34-2.51
O7 0.5183 0.9648 0.2521  3 La 2.34-2.51
O8 0.7500 0.7500 0.7562  4 La 2.38-2.40
O9 0.9817 0.5352 0.2521  3 La 2.34-2.51
O10 0.9817 0.9648 0.2521  3 La 2.34-2.51
F1 0.2500 0.7500 0.7293  4 La 2.48-2.52
F2 0.7500 0.2500 0.2707  4 La 2.48-2.52